Material: Y2MoO6
Method: DFT, GGA+U
State: optimized geometry

Cell: 9.976 9.976 5.418 Å, 105.04 105.04 68.13°
Element x y z (fractional)
Y 0.053 0.284 0.878
Y 0.106 0.894 0.750
Y 0.284 0.053 0.378
Y 0.364 0.636 0.250
Y 0.636 0.364 0.750
Y 0.716 0.947 0.622
Y 0.894 0.106 0.250
Y 0.947 0.716 0.122
Mo 0.204 0.489 0.560
Mo 0.489 0.204 0.060
Mo 0.511 0.796 0.940
Mo 0.796 0.511 0.440
O 0.068 0.475 0.255
O 0.073 0.110 0.077
O 0.110 0.073 0.577
O 0.162 0.692 0.418
O 0.174 0.615 0.871
O 0.211 0.317 0.635
O 0.308 0.838 0.082
O 0.317 0.211 0.135
O 0.385 0.826 0.629
O 0.389 0.452 0.514
O 0.452 0.389 0.014
O 0.475 0.068 0.755
O 0.525 0.932 0.245
O 0.548 0.611 0.986
O 0.611 0.548 0.486
O 0.615 0.174 0.371
O 0.683 0.789 0.865
O 0.692 0.162 0.918
O 0.789 0.683 0.365
O 0.826 0.385 0.129
O 0.838 0.308 0.582
O 0.890 0.927 0.423
O 0.927 0.890 0.923
O 0.932 0.525 0.745

Summary:
Its total magnetic moment is 0.00 μB/cell. The total energy comes out at -8.290 eV per atom.